(1)
This record from Alexandria via LeMat-Bulk describes a relaxed structure of Na2TbSm3Se6. The functional is GGA-PBE. Values from VASP.

The structure in Quantum ESPRESSO input format:
```
&SYSTEM
  ibrav = 0, nat = 12, ntyp = 4
/
ATOMIC_SPECIES
Na 22.99 Na.upf
Tb 158.93 Tb.upf
Sm 150.36 Sm.upf
Se 78.96 Se.upf
CELL_PARAMETERS angstrom
3.611 -6.249 0.000
3.611 6.249 0.000
-2.398 0.000 6.848
ATOMIC_POSITIONS crystal
Na 0.166 0.834 0.000
Na 0.834 0.166 0.000
Tb 0.500 0.500 0.000
Sm 0.000 0.000 0.500
Sm 0.330 0.670 0.500
Sm 0.670 0.330 0.500
Se 0.089 0.417 0.752
Se 0.257 0.257 0.252
Se 0.417 0.089 0.752
Se 0.583 0.911 0.248
Se 0.743 0.743 0.748
Se 0.911 0.583 0.248
```

Summary:
For the total moment, the calculation gives 0.0 μB per cell. As for the formation energy without anion corrections: -39.93 kcal/mol of atoms. Its density of states at the Fermi level is 0.275 states/eV per atom.



(2)
This record from Alexandria via LeMat-Bulk describes a relaxed structure of Na4TbSm3Se8. The functional is GGA-PBE. Values from VASP.

The structure in Quantum ESPRESSO input format:
```
&SYSTEM
  ibrav = 0, nat = 16, ntyp = 4
/
ATOMIC_SPECIES
Na 22.99 Na.upf
Tb 158.93 Tb.upf
Sm 150.36 Sm.upf
Se 78.96 Se.upf
CELL_PARAMETERS angstrom
4.215 2.434 7.013
-4.215 2.434 7.013
0.000 -4.868 7.013
ATOMIC_POSITIONS crystal
Na 0.000 0.000 0.000
Na 0.000 0.500 0.500
Na 0.500 0.000 0.500
Na 0.500 0.500 0.000
Tb 0.500 0.500 0.500
Sm 0.000 0.000 0.500
Sm 0.000 0.500 0.000
Sm 0.500 0.000 0.000
Se 0.245 0.245 0.245
Se 0.248 0.742 0.742
Se 0.258 0.258 0.752
Se 0.258 0.752 0.258
Se 0.742 0.248 0.742
Se 0.742 0.742 0.248
Se 0.752 0.258 0.258
Se 0.755 0.755 0.755
```

Summary:
For the total moment, the calculation gives 0.0 μB per cell. As for the formation energy without anion corrections: -39.15 kcal/mol of atoms. Its density of states at the Fermi level is 0.000 states/eV per atom.



(3)
This record from Alexandria via LeMat-Bulk describes a relaxed structure of NaSmTeSe. The functional is GGA-PBE. Values from VASP.

The structure in Quantum ESPRESSO input format:
```
&SYSTEM
  ibrav = 0, nat = 4, ntyp = 4
/
ATOMIC_SPECIES
Na 22.99 Na.upf
Sm 150.36 Sm.upf
Te 127.60 Te.upf
Se 78.96 Se.upf
CELL_PARAMETERS angstrom
2.181 1.259 7.311
-2.181 1.259 7.311
0.000 -2.518 7.311
ATOMIC_POSITIONS crystal
Na 0.000 0.000 0.000
Sm 0.489 0.489 0.489
Te 0.241 0.241 0.241
Se 0.751 0.751 0.751
```

Summary:
For the total moment, the calculation gives 0.0 μB per cell. As for the formation energy without anion corrections: -34.59 kcal/mol of atoms.



(4)
This record from Alexandria via LeMat-Bulk describes a relaxed structure of Na3Sm2TeSe6. The functional is GGA-PBE. Values from VASP.

The structure in Quantum ESPRESSO input format:
```
&SYSTEM
  ibrav = 0, nat = 12, ntyp = 4
/
ATOMIC_SPECIES
Na 22.99 Na.upf
Sm 150.36 Sm.upf
Te 127.60 Te.upf
Se 78.96 Se.upf
CELL_PARAMETERS angstrom
3.651 -6.422 0.000
3.651 6.422 0.000
-2.381 0.000 7.006
ATOMIC_POSITIONS crystal
Na 0.000 0.000 0.000
Na 0.339 0.661 0.000
Na 0.661 0.339 0.000
Sm 0.170 0.830 0.500
Sm 0.830 0.170 0.500
Te 0.500 0.500 0.500
Se 0.079 0.418 0.259
Se 0.250 0.250 0.723
Se 0.418 0.079 0.259
Se 0.582 0.921 0.741
Se 0.750 0.750 0.277
Se 0.921 0.582 0.741
```

Summary:
For the total moment, the calculation gives 1.0 μB per cell. As for the formation energy without anion corrections: -27.43 kcal/mol of atoms. Its density of states at the Fermi level is 0.421 states/eV per atom.